1.
This record from Alexandria describes a PBEsol-optimized structure of TaHg3Mo. The functional is SCAN.

a b c (Å): 5.0822 5.0822 5.0822
angles (deg): 90.00 90.00 90.00
Each line ends with the local moment (μB).
Sites, in units of the cell vectors:
Hg1 0.0000 0.0000 0.5000  -0.03
Hg2 0.0000 0.5000 0.0000  -0.03
Mo1 0.0000 0.0000 0.0000  -1.50
Ta1 0.5000 0.5000 0.5000  2.20
Hg3 0.5000 0.0000 0.0000  -0.03

Values from the calculation:
The formation energy is 1811 meV/atom.

2.
This record from Alexandria describes a PBEsol-optimized structure of NpSbTe. The functional is SCAN.

a b c (Å): 4.2410 4.2410 8.7657
angles (deg): 90.00 90.00 90.00
Each line ends with the local moment (μB).
Sites, in units of the cell vectors:
Np1 0.5000 0.0000 0.2769  3.88
Te1 0.0000 0.5000 0.3630  -0.21
Sb1 0.0000 0.0000 0.0000  -0.08
Np2 0.0000 0.5000 0.7231  3.88
Te2 0.5000 0.0000 0.6370  -0.21
Sb2 0.5000 0.5000 0.0000  -0.08

Values from the calculation:
The total DFT energy (no corrections) is -182.90 eV/f.u.

3.
This record from Alexandria describes a PBEsol-optimized structure of Te2AsRh. The functional is SCAN.

a b c (Å): 4.0412 4.0412 5.8576
angles (deg): 110.18 110.18 90.00
Sites, in units of the cell vectors:
Te1 0.7500 0.2500 0.5000
As1 0.5000 0.5000 0.0000
Rh1 0.2500 0.7500 0.5000
Te2 0.0000 0.0000 0.0000

Values from the calculation:
The total DFT energy (no corrections) is -126.59 eV/f.u.

4.
This record from Alexandria describes a PBEsol-optimized structure of Sr2CaIr. The functional is SCAN.

a b c (Å): 3.5941 3.5941 10.1871
angles (deg): 90.00 90.00 90.00
Sites, in units of the cell vectors:
Sr1 0.5000 0.5000 0.2636
Sr2 0.0000 0.0000 0.9098
Ca1 0.0000 0.0000 0.5892
Ir1 0.5000 0.5000 0.7373

Values from the calculation:
The value obtained for the energy above the lowest structure with this stoichiometry is 68 meV/atom. The formation energy is -64 meV/atom.

5.
This record from Alexandria describes a PBEsol-optimized structure of Mg2PtCl. The functional is SCAN.

a b c (Å): 3.7673 3.7673 5.4147
angles (deg): 90.00 90.00 90.00
Sites, in units of the cell vectors:
Mg1 0.5000 0.5000 0.3749
Pt1 0.0000 0.0000 0.3750
Mg2 0.0000 0.0000 0.8750
Cl1 0.5000 0.5000 0.8751

Values from the calculation:
The total DFT energy (no corrections) is -91.46 eV/f.u.

6.
This record from Alexandria describes a PBEsol-optimized structure of CaMgPt2. The functional is SCAN.

a b c (Å): 2.9367 4.8904 5.3736
angles (deg): 102.64 105.86 90.00
Sites, in units of the cell vectors:
Ca1 0.5221 0.5603 0.0443
Pt1 0.2731 0.7101 0.5462
Mg1 0.7230 0.1840 0.4460
Pt2 0.9818 0.0457 0.9635

Values from the calculation:
The formation energy is -802 meV/atom.

7.
This record from Alexandria describes a PBEsol-optimized structure of HfSiP2Cl. The functional is SCAN.

a b c (Å): 4.5671 4.5671 4.6463
angles (deg): 90.00 90.00 90.00
Sites, in units of the cell vectors:
Hf1 0.0000 0.0000 0.5000
P1 0.0000 0.5000 0.0000
Si1 0.5000 0.5000 0.5000
Cl1 0.0000 0.0000 0.0000
P2 0.5000 0.0000 0.0000

Values from the calculation:
The total DFT energy (no corrections) is -95.22 eV/f.u.

8.
This record from Alexandria describes a PBEsol-optimized structure of SnBiB2I. The functional is SCAN.

a b c (Å): 4.7904 4.7904 6.2925
angles (deg): 90.00 90.00 90.00
Sites, in units of the cell vectors:
B1 0.0000 0.5000 0.0000
Bi1 0.0000 0.0000 0.0000
Sn1 0.0000 0.0000 0.5000
I1 0.5000 0.5000 0.5000
B2 0.5000 0.0000 0.0000

Values from the calculation:
The total DFT energy (no corrections) is -157.53 eV/f.u.

9.
This record from Alexandria describes a PBEsol-optimized structure of CaCdHg2. The functional is SCAN.

a b c (Å): 3.3909 4.9497 5.7879
angles (deg): 90.00 90.66 90.00
Sites, in units of the cell vectors:
Hg1 0.9985 0.0000 0.9925
Cd1 0.0061 0.5000 0.7554
Hg2 0.9958 0.5000 0.2637
Ca1 0.4997 0.0000 0.4883

Values from the calculation:
The formation energy is -387 meV/atom.

10.
This record from Alexandria describes a PBEsol-optimized structure of KTcHg2. The functional is SCAN.

a b c (Å): 5.0185 5.0185 5.0185
angles (deg): 60.00 60.00 60.00
Each line ends with the local moment (μB).
Sites, in units of the cell vectors:
Hg1 0.0000 0.0000 0.0000  0.01
K1 0.5000 0.5000 0.5000  0.03
Hg2 0.7500 0.7500 0.7500  0.04
Tc1 0.2500 0.2500 0.2500  3.66

Values from the calculation:
The value obtained for the energy above the lowest structure with this stoichiometry is 194 meV/atom. The formation energy is 804 meV/atom.

11.
This record from Alexandria describes a PBEsol-optimized structure of Li2Mn2Pd. The functional is SCAN.

a b c (Å): 2.9693 2.9693 8.3658
angles (deg): 100.22 100.22 90.00
Sites, in units of the cell vectors:
Pd1 0.0000 0.0000 0.0000
Li1 0.6005 0.6005 0.2010
Li2 0.3995 0.3995 0.7990
Mn1 0.2500 0.7500 0.5000
Mn2 0.7500 0.2500 0.5000

Values from the calculation:
The formation energy is 413 meV/atom.

12.
This record from Alexandria describes a PBEsol-optimized structure of Li2InPb. The functional is SCAN.

a b c (Å): 4.8516 4.8419 4.8516
angles (deg): 59.93 90.00 120.07
Sites, in units of the cell vectors:
Pb1 0.5000 0.0000 0.5000
In1 0.0000 0.0000 0.0000
Li1 0.2500 0.5000 0.2500
Li2 0.7500 0.5000 0.7500

Values from the calculation:
The value obtained for the energy above the lowest structure with this stoichiometry is 0 meV/atom. The formation energy is -387 meV/atom.